VASP calculation (PBE) on crystalline SeIN2Cl at its relaxed geometry.

POSCAR file:
```
SeIN2Cl
1.0
3.9499 0.0000 0.0000
0.0000 3.9499 0.0000
0.0000 0.0000 6.5561
Se I N Cl
1 1 2 1
Direct
0.0000 0.0000 0.0000
0.0000 0.0000 0.5000
0.0000 0.5000 0.5000
0.5000 0.0000 0.5000
0.5000 0.5000 0.0000
```

Results
crystal system: tetragonal
SG: P4/mmm (123)
theoretical density: 4.37 g/cm³
magnetization: 0.00 μB/f.u.
ΔE to the lowest computed polymorph: 1.22 eV per formula unit

***

VASP calculation (PBE) on crystalline PmSm2AgN at its relaxed geometry.

POSCAR file:
```
PmSm2AgN
1.0
4.9225 0.0000 0.0000
0.0000 4.9225 0.0000
0.0000 0.0000 4.9714
Pm Sm Ag N
1 2 1 1
Direct
0.0000 0.0000 0.0000
0.0000 0.5000 0.5000
0.5000 0.0000 0.5000
0.5000 0.5000 0.0000
0.0000 0.0000 0.5000
```

Results
crystal system: tetragonal
SG: P4/mmm (123)
theoretical density: 7.82 g/cm³
magnetization: 0.00 μB/f.u.
calculated total energy: -28.5 eV/cell

***

VASP calculation (PBE) on crystalline YPW2 at its relaxed geometry.

POSCAR file:
```
YPW2
1.0
3.2797 0.0000 0.0000
0.0000 4.2303 0.0000
-1.2771 0.0000 5.4833
Y P W
1 1 2
Direct
0.0000 0.0000 0.0000
0.5700 0.5000 0.1990
0.2003 0.5000 0.5406
0.6649 0.0000 0.4797
```

Results
crystal system: monoclinic
SG: Pm (6)
theoretical density: 10.64 g/cm³
magnetization: 0.00 μB/f.u.
DFT formation energy: -0.08 eV per atom

***

VASP calculation (PBE) on crystalline MgSb2Cl at its relaxed geometry.

POSCAR file:
```
MgSb2Cl
1.0
3.3548 0.0000 0.0000
0.0000 3.3548 0.0000
0.0000 0.0000 9.6451
Mg Sb Cl
1 2 1
Direct
0.0000 0.0000 0.0000
0.0000 0.0000 0.4541
0.5000 0.5000 0.2295
0.5000 0.5000 0.8612
```

Results
crystal system: tetragonal
SG: P4mm (99)
theoretical density: 4.64 g/cm³
magnetization: 0.00 μB/f.u.
ΔE to the lowest computed polymorph: 0.61 eV per formula unit